No. 1
A geometry-optimized PrLuBi structure, computed with PBE.

Cell: 4.070 4.070 6.304 Å, 108.83 108.83 90.00°
Last column: magnetic moment on the atom in μB.
Element x y z (fractional)
Pr1 0.943 0.943 0.886  0.24
Lu1 0.635 0.635 0.269  0.28
Bi1 0.272 0.272 0.545  0.00

***

No. 2
A geometry-optimized PrLuBi structure, computed with PBE.

Cell: 4.073 5.237 5.237 Å, 120.00 90.00 90.00°
Element x y z (fractional)
Pr1 0.681 0.333 0.667
Lu1 0.199 0.667 0.333
Bi1 0.120 0.000 0.000

***

No. 3
A geometry-optimized PrLu2Bi structure, computed with PBE.

Cell: 4.900 4.890 4.890 Å, 90.00 90.00 90.00°
Element x y z (fractional)
Pr1 0.500 0.000 0.000
Lu1 0.000 0.000 0.500
Lu2 0.000 0.500 0.000
Bi1 0.500 0.500 0.500

ΔE to the lowest computed polymorph ... 0 meV/atom

***

No. 4
A geometry-optimized PrLu2Bi structure, computed with PBE.

Cell: 3.989 3.989 7.572 Å, 90.00 90.00 90.00°
Element x y z (fractional)
Pr1 0.500 0.500 0.000
Lu1 0.000 0.000 0.723
Lu2 0.000 0.000 0.277
Bi1 0.500 0.500 0.500

ΔE to the lowest computed polymorph ... 18 meV/atom

***

No. 5
A geometry-optimized PrLuBi2 structure, computed with PBE.

Cell: 3.837 3.837 8.192 Å, 90.00 90.00 90.00°
Element x y z (fractional)
Pr1 0.500 0.500 0.500
Lu1 0.500 0.500 0.000
Bi1 0.000 0.000 0.765
Bi2 0.000 0.000 0.235

***

No. 6
A geometry-optimized PrLuTlBi structure, computed with PBE.

Cell: 5.504 5.504 5.504 Å, 60.00 60.00 60.00°
Element x y z (fractional)
Pr1 0.250 0.250 0.250
Tl1 0.500 0.500 0.500
Lu1 0.750 0.750 0.750
Bi1 0.000 0.000 0.000

***

| no. | E (eV per atom) |
| --- | --- |
| 1 | -4.836 |
| 2 | -4.690 |
| 3 | -4.739 |
| 4 | -4.721 |
| 5 | -4.846 |
| 6 | -4.275 |